K6NaO | GGA-PBE | optimized geometry

The density of states at the Fermi level comes out at 8.72 states/eV/cell. For the formation energy (no corrections), the calculation gives -313 meV/atom. The calculation puts the total magnetization at 0.000 μB/cell.

It has space group Amm2 (No. 38), with a = 4.116 Å, b = 7.725 Å, c = 26.660 Å, α = 90.00°, β = 90.00° and γ = 90.00°. The inequivalent atoms are K at (0.000, 0.000, 0.000), K at (0.000, 0.000, 0.423), K at (0.000, 0.198, 0.255), K at (0.500, 0.224, 0.144), Na at (0.500, 0.000, 0.868) and O at (0.500, 0.000, 0.216).



K4Na2O | GGA-PBE | optimized geometry

The density of states at the Fermi level comes out at 4.57 states/eV/cell. The calculation puts the energy above the most stable polymorph in this dataset at 9 meV per atom. For the formation energy (no corrections), the calculation gives -413 meV/atom. The calculation puts the total magnetization at 0.000 μB/cell.

It has space group I4/mmm (No. 139), with a = 5.384 Å, b = 5.384 Å, c = 21.469 Å, α = 90.00°, β = 90.00° and γ = 90.00°. The inequivalent atoms are K at (0.000, 0.000, 0.121), K at (0.000, 0.500, 0.000), Na at (0.000, 0.000, 0.301) and O at (0.000, 0.000, 0.000).



K2NaO8 | GGA-PBE | optimized geometry

The density of states at the Fermi level comes out at 8.94 states/eV/cell. For the formation energy (no corrections), the calculation gives -681 meV/atom. The calculation puts the total magnetization at 5.000 μB/cell.

It has space group P-1 (No. 2), with a = 4.712 Å, b = 5.194 Å, c = 8.277 Å, α = 71.78°, β = 74.79° and γ = 87.00°. The inequivalent atoms are K at (0.155, 0.139, 0.221), Na at (0.500, 0.500, 0.500), O at (0.043, 0.558, 0.413), O at (0.321, 0.466, 0.870), O at (0.346, 0.237, 0.833) and O at (0.375, 0.928, 0.521).



KNaO4 | GGA-PBE | optimized geometry

The density of states at the Fermi level comes out at 6.44 states/eV/cell. For the formation energy (no corrections), the calculation gives -804 meV/atom. The calculation puts the total magnetization at 4.000 μB/cell.

It has space group C2/m (No. 12), with a = 7.732 Å, b = 3.700 Å, c = 7.270 Å, α = 90.00°, β = 119.05° and γ = 90.00°. The inequivalent atoms are K at (0.000, 0.000, 0.000), Na at (0.000, 0.000, 0.500), O at (0.098, 0.500, 0.334) and O at (0.104, 0.500, 0.769).



KNaO | GGA-PBE | optimized geometry

The density of states at the Fermi level comes out at 6.97 states/eV/cell. For the formation energy (no corrections), the calculation gives -894 meV/atom. The calculation puts the total magnetization at 0.000 μB/cell.

It has space group Fmmm (No. 69), with a = 6.746 Å, b = 7.866 Å, c = 9.568 Å, α = 90.00°, β = 90.00° and γ = 90.00°. The inequivalent atoms are K at (0.000, 0.000, 0.199), Na at (0.000, 0.194, 0.500) and O at (0.249, 0.000, 0.000).



K12Na3O5 | GGA-PBE | optimized geometry

The density of states at the Fermi level comes out at 95.53 states/eV/cell. For the formation energy (no corrections), the calculation gives -611 meV/atom. The calculation puts the total magnetization at 2.756 μB/cell.

It has space group Ia-3d (No. 230), with a = 18.092 Å, b = 18.092 Å, c = 18.092 Å, α = 90.00°, β = 90.00° and γ = 90.00°. The inequivalent atoms are K at (0.037, 0.141, 0.955), Na at (0.000, 0.250, 0.125), O at (0.000, 0.000, 0.000) and O at (0.000, 0.250, 0.375).



K6Na2O | GGA-PBE | optimized geometry

The density of states at the Fermi level comes out at 6.21 states/eV/cell. For the formation energy (no corrections), the calculation gives -358 meV/atom. The calculation puts the total magnetization at 0.000 μB/cell.

It has space group P2_1/c (No. 14), with a = 8.427 Å, b = 8.425 Å, c = 14.992 Å, α = 90.00°, β = 124.09° and γ = 90.00°. The inequivalent atoms are K at (0.214, 0.000, 0.216), K at (0.223, 0.224, 0.000), K at (0.224, 0.723, 0.500), Na at (0.251, 0.000, 0.750) and O at (0.000, 0.000, 0.000).



KNaO2 | GGA-PBE | optimized geometry

The density of states at the Fermi level comes out at 11.35 states/eV/cell. For the formation energy (no corrections), the calculation gives -600 meV/atom. The calculation puts the total magnetization at 8.000 μB/cell.

It has space group Fm-3m (No. 225), with a = 6.262 Å, b = 6.262 Å, c = 6.262 Å, α = 90.00°, β = 90.00° and γ = 90.00°. The inequivalent atoms are K at (0.000, 0.000, 0.000), Na at (0.000, 0.000, 0.500) and O at (0.250, 0.250, 0.250).